(1)
10
Lattice="4.3298 0.0000 0.9890 1.8273 7.1969 1.9723 0.0122 0.0143 9.9185" Properties=species:S:1:pos:R:3 comment="PBE PmPu4Sb5, optimized geometry" raw_formation_energy_ev_per_atom=-0.71 pbc="T T T"
Pm 0.0000 0.0000 0.0000
Pu 2.9672 1.4596 6.9545
Pu 1.5965 2.8548 2.9831
Pu 4.5729 4.3564 9.8968
Pu 3.2022 5.7515 5.9254
Sb 2.5265 6.4949 8.8836
Sb 3.6429 0.7162 3.9962
Sb 2.2912 2.2292 9.9139
Sb 0.9198 3.6056 5.9454
Sb 3.8782 4.9820 2.9660



(2)
4
Lattice="5.3850 0.0000 0.0000 2.6925 4.6635 0.0000 2.6925 1.5545 4.3968" Properties=species:S:1:pos:R:3 comment="PBE PmPu2Sb, optimized geometry" raw_formation_energy_ev_per_atom=-0.07 de_polymorph_ev_per_atom=0.330 pbc="T T T"
Sb 5.3850 3.1090 2.1984
Pm 0.0000 0.0000 0.0000
Pu 2.6925 1.5545 1.0992
Pu 8.0775 4.6635 3.2976



(3)
4
Lattice="4.6362 0.0000 0.0000 0.0000 4.9403 0.0000 0.0000 0.0000 4.9403" Properties=species:S:1:pos:R:3 comment="PBE Pm2PuSb, optimized geometry" raw_formation_energy_ev_per_atom=-0.44 de_polymorph_ev_per_atom=0.000 pbc="T T T"
Sb 2.3181 0.0000 0.0000
Pm 0.0000 0.0000 2.4702
Pm 0.0000 2.4702 0.0000
Pu 2.3181 2.4702 2.4702



(4)
6
Lattice="-2.5221 2.8347 2.2418 -3.3639 -2.8407 -0.1925 2.6561 -3.6603 7.6179" Properties=species:S:1:pos:R:3 comment="PBE PmPuSb, optimized geometry" raw_formation_energy_ev_per_atom=-0.72 de_polymorph_ev_per_atom=0.000 pbc="T T T"
Pm -1.0196 -0.9437 6.5462
Pm -2.2103 -2.7226 3.1211
Pu -4.4145 -0.0045 1.5370
Pu -1.4715 -0.0015 0.5123
Sb -1.2433 -4.0530 5.8943
Sb -1.9865 0.3867 3.7730



(5)
8
Lattice="4.4100 0.0000 0.0000 0.0000 7.5968 0.1287 0.0000 -2.6578 7.1280" Properties=species:S:1:pos:R:3 comment="PBE Pm2PuScSb4, optimized geometry" raw_formation_energy_ev_per_atom=-0.95 pbc="T T T"
Pm 2.2050 -1.3289 3.5640
Pm 0.0000 2.4695 3.6284
Pu 2.2050 3.7984 0.0644
Sc 0.0000 0.0000 0.0000
Sb 2.2050 1.1852 1.6935
Sb 2.2050 3.7539 5.5633
Sb 0.0000 -0.1483 5.4610
Sb 0.0000 5.0873 1.7958



(6)
8
Lattice="4.3952 0.0000 0.0000 0.0000 7.6010 0.1364 0.0000 -2.6522 7.0799" Properties=species:S:1:pos:R:3 comment="PBE PmPu2ScSb4, optimized geometry" raw_formation_energy_ev_per_atom=-0.79 pbc="T T T"
Pm 0.0000 0.0000 0.0000
Pu 2.1976 -1.3261 3.5400
Pu 0.0000 2.4744 3.6082
Sc 2.1976 3.8005 0.0682
Sb 2.1976 1.3193 1.7924
Sb 2.1976 3.6295 5.4239
Sb 0.0000 -0.0136 5.4124
Sb 0.0000 4.9624 1.8040